[1]
Here is crystalline NaHO at its relaxed geometry from Alexandria via LeMat-Bulk. Energies are from PBE.

POSCAR file:
```
NaHO
1.0
-0.774 1.320 3.074
0.390 -4.074 3.385
1.775 -0.935 3.536
Na H O
1 1 1
direct
0.716 0.528 0.910
0.588 0.091 0.910
0.328 0.221 0.910
```

Output
Calculated total energy ... -4.5132 eV per atom

***

[2]
Here is crystalline NaHO at its relaxed geometry from Alexandria via LeMat-Bulk. Energies are from PBE.

POSCAR file:
```
NaHO
1.0
-0.161 2.693 -1.995
-2.332 2.159 1.077
1.413 2.669 1.462
H O Na
1 1 1
direct
0.609 0.609 0.609
0.481 0.481 0.481
0.023 0.023 0.023
```

Output
Calculated total energy ... -4.4954 eV per atom